1.
## Dy8CoBi2 (PBE)

Data for an optimized crystal structure of Dy8CoBi2.

```
Dy8CoBi2
1.0
4.577 0.000 0.000
0.000 7.307 0.719
-2.288 -2.061 9.353
Dy Co Bi
8 1 2
Cartesian
0.000 1.852 7.953
2.288 -0.228 2.485
2.288 3.594 5.832
2.288 -0.452 9.511
0.000 1.652 4.240
0.000 5.474 7.587
2.288 3.395 2.119
0.000 5.699 0.562
2.288 0.000 0.000
2.288 0.277 6.081
0.000 4.969 3.991
```

## Properties
Energy of formation from the pure elements ... -308 meV per atom

***

2.
## CoOs (PBE)

Data for an optimized crystal structure of CoOs.

```
CoOs
1.0
8.419 0.000 0.000
0.000 8.419 0.000
0.000 0.000 3.989
Co Os
8 8
Cartesian
6.714 6.157 1.994
1.705 2.262 1.994
2.262 6.714 1.994
6.157 1.705 1.994
7.567 1.453 0.000
0.852 6.966 0.000
6.966 7.567 0.000
1.453 0.852 0.000
7.256 3.670 1.994
1.162 4.749 1.994
4.749 7.256 1.994
3.670 1.162 1.994
7.604 5.167 0.000
0.815 3.252 0.000
3.252 7.604 0.000
5.167 0.815 0.000
```

## Properties
Energy of formation from the pure elements ... 975 meV per atom

***

3.
## La5InHg4 (PBE)

Data for an optimized crystal structure of La5InHg4.

```
La5InHg4
1.0
-2.476 1.286 2.741
-1.272 -3.655 0.566
13.822 -2.682 13.748
La In Hg
5 1 4
Cartesian
-0.462 -1.458 3.058
2.296 -1.993 5.801
5.037 -2.525 8.527
7.778 -3.057 11.254
10.535 -3.592 13.997
0.000 0.000 0.000
2.783 -0.540 2.768
5.535 -1.074 5.506
8.287 -1.608 8.243
11.039 -2.142 10.980
```

## Properties
Energy of formation from the pure elements ... -501 meV per atom

***

For each record above, in turn, the calculated M_tot values are 0.0, 7.0, 1.5 Bohr magnetons per cell.